Entry 1:
# CoPb2Se

Crystalline CoPb2Se at its relaxed geometry (PBE, Alexandria).

Results
Its density of states at the Fermi level is 5.29 states/eV/f.u. For the energy relative to the elements, uncorrected, the calculation gives 353 meV/atom. The value obtained for the total moment is 2.8 Bohr magnetons per cell.

CIF file:
```
data_CoPb2Se
_chemical_formula_sum 'Co2 Pb4 Se2'
_symmetry_space_group_name_H-M 'C 1 2/m 1'
_symmetry_Int_Tables_number 12
_symmetry_space_group_name_Hall '-C 2y'
_cell_length_a 6.8052
_cell_length_b 7.7020
_cell_length_c 3.5561
_cell_angle_alpha 90.00
_cell_angle_beta 90.34
_cell_angle_gamma 90.00
loop_
_atom_site_label
_atom_site_fract_x
_atom_site_fract_y
_atom_site_fract_z
Co1 0.0000 0.0000 0.0000
Pb1 0.2500 0.2500 0.5000
Se1 0.0000 0.5000 0.0000
```


Entry 2:
# CoPb2Se

Crystalline CoPb2Se at its relaxed geometry (PBE, Alexandria).

Results
Its density of states at the Fermi level is 2.14 states/eV/f.u. For the energy relative to the elements, uncorrected, the calculation gives 330 meV/atom. The value obtained for the total moment is 3.9 Bohr magnetons per cell.

CIF file:
```
data_CoPb2Se
_chemical_formula_sum 'Co4 Pb8 Se4'
_symmetry_space_group_name_H-M 'I -4 2 d'
_symmetry_Int_Tables_number 122
_symmetry_space_group_name_Hall 'I -4 2bw'
_cell_length_a 6.2792
_cell_length_b 6.2792
_cell_length_c 12.5551
_cell_angle_alpha 90.00
_cell_angle_beta 90.00
_cell_angle_gamma 90.00
loop_
_atom_site_label
_atom_site_fract_x
_atom_site_fract_y
_atom_site_fract_z
Co1 0.0000 0.0000 0.0000
Pb1 0.1992 0.2500 0.1250
Se1 0.0000 0.0000 0.5000
```


Entry 3:
# Co4PbSe

Crystalline Co4PbSe at its relaxed geometry (PBE, Alexandria).

Results
Its density of states at the Fermi level is 9.07 states/eV/f.u. For the energy relative to the elements, uncorrected, the calculation gives 456 meV/atom. The value obtained for the total moment is 28.0 Bohr magnetons per cell.

CIF file:
```
data_Co4PbSe
_chemical_formula_sum 'Co16 Pb4 Se4'
_symmetry_space_group_name_H-M 'F -4 3 m'
_symmetry_Int_Tables_number 216
_symmetry_space_group_name_Hall 'F -4 2 3'
_cell_length_a 7.0980
_cell_length_b 7.0980
_cell_length_c 7.0980
_cell_angle_alpha 90.00
_cell_angle_beta 90.00
_cell_angle_gamma 90.00
loop_
_atom_site_label
_atom_site_fract_x
_atom_site_fract_y
_atom_site_fract_z
Co1 0.1244 0.1244 0.3756
Pb1 0.0000 0.0000 0.0000
Se1 0.2500 0.2500 0.7500
```